[1]
Computed, not measured: a geometry-optimized NaPmPrSi structure at the PBE level of DFT.

a = 5.2661 Å, b = 5.2661 Å, c = 5.2661 Å
α = 60.00°, β = 60.00°, γ = 60.00°
Last column: nearest neighbours and their distance in Å.
Fractional positions:
Na  0.0000  0.0000  0.0000  4 Pm 3.22, 4 Pr 3.22
Pm  0.7500  0.7500  0.7500  4 Na 3.22, 4 Si 3.22
Pr  0.2500  0.2500  0.2500  4 Si 3.22, 4 Na 3.22
Si  0.5000  0.5000  0.5000  4 Pm 3.22, 4 Pr 3.22

Formation energy without anion corrections   -0.180 eV per atom


[2]
Computed, not measured: a geometry-optimized ZrZn2Mo structure at the PBE level of DFT.

a = 4.9027 Å, b = 4.9027 Å, c = 2.9041 Å
α = 90.00°, β = 90.00°, γ = 108.68°
Last column: nearest neighbours and their distance in Å.
Fractional positions:
Zr  0.0000  0.0000  0.0000  8 Zn 2.85, 2 Mo 2.86, 2 Zr 2.90
Zn  0.0000  0.5000  0.5000  4 Zr 2.85, 4 Mo 2.85, 4 Zn 2.86-2.90
Zn  0.5000  0.0000  0.5000  4 Zr 2.85, 4 Mo 2.85, 4 Zn 2.86-2.90
Mo  0.5000  0.5000  0.0000  8 Zn 2.85, 2 Zr 2.86, 2 Mo 2.90

Offset from the most stable computed form   0.27 eV per formula unit
ΔH_f (0 K)   -0.0256 eV/atom


[3]
Computed, not measured: a geometry-optimized SbRuPt2 structure at the PBE level of DFT.

a = 9.2558 Å, b = 9.2558 Å, c = 9.2558 Å
α = 18.36°, β = 18.36°, γ = 18.36°
Last column: nearest neighbours and their distance in Å.
Fractional positions:
Sb  0.0000  0.0000  0.0000  6 Pt 2.94, 6 Sb 2.95
Ru  0.5000  0.5000  0.5000  6 Pt 2.74, 6 Ru 2.95
Pt  0.2454  0.2454  0.2454  3 Ru 2.74, 3 Sb 2.94, 6 Pt 2.95
Pt  0.7546  0.7546  0.7546  3 Ru 2.74, 3 Sb 2.94, 6 Pt 2.95

Formation energy without anion corrections   0.282 eV per atom


[4]
Computed, not measured: a geometry-optimized AcGa4Ag4 structure at the PBE level of DFT.

a = 6.3589 Å, b = 6.3589 Å, c = 9.2190 Å
α = 90.00°, β = 90.00°, γ = 90.00°
Last column: nearest neighbours and their distance in Å.
Fractional positions:
Ac  0.2500  0.7500  0.2500  4 Ga 3.40, 8 Ag 3.60
Ac  0.7500  0.2500  0.7500  4 Ga 3.40, 8 Ag 3.60
Ga  0.0425  0.2500  0.0593  1 Ga 2.64, 5 Ag 2.66-2.76
Ga  0.2500  0.0425  0.5593  1 Ga 2.64, 5 Ag 2.66-2.76
Ga  0.2500  0.4575  0.5593  1 Ga 2.64, 5 Ag 2.66-2.76
Ga  0.4575  0.2500  0.0593  1 Ga 2.64, 5 Ag 2.66-2.76
Ga  0.5425  0.7500  0.9407  1 Ga 2.64, 5 Ag 2.66-2.76
Ga  0.7500  0.5425  0.4407  1 Ga 2.64, 5 Ag 2.66-2.76
Ga  0.7500  0.9575  0.4407  1 Ga 2.64, 5 Ag 2.66-2.76
Ga  0.9575  0.7500  0.9407  1 Ga 2.64, 5 Ag 2.66-2.76
Ag  0.0239  0.2500  0.3470  5 Ga 2.66-2.76, 1 Ag 2.88
Ag  0.2500  0.0239  0.8470  5 Ga 2.66-2.76, 1 Ag 2.88
Ag  0.2500  0.4761  0.8470  5 Ga 2.66-2.76, 1 Ag 2.88
Ag  0.4761  0.2500  0.3470  5 Ga 2.66-2.76, 1 Ag 2.88
Ag  0.5239  0.7500  0.6530  5 Ga 2.66-2.76, 1 Ag 2.88
Ag  0.7500  0.5239  0.1530  5 Ga 2.66-2.76, 1 Ag 2.88
Ag  0.7500  0.9761  0.1530  5 Ga 2.66-2.76, 1 Ag 2.88
Ag  0.9761  0.7500  0.6530  5 Ga 2.66-2.76, 1 Ag 2.88

ΔH_f (0 K)   -0.1915 eV/atom


Which magnetization belongs to each record? In order, 0.00 0.00 0.28 0.00 μB/f.u..
Which uncorrected energy belongs to each record? In order, -4.25 -5.51 -6.09 -3.26 eV per atom.